Computed, not measured: a relaxed BaSrY2 crystal at the GGA-PBE level of DFT.

Lattice parameters (Å, degrees): 4.2592 4.2592 9.2081 90.00 90.00 90.00
Last column: nearest neighbours and their distance in Å.
Sites, in units of the cell vectors:
Sr1 0.5000 0.5000 0.7500  8 Y 3.69
Y1 0.0000 0.0000 0.5188  4 Sr 3.69, 4 Ba 3.90
Y2 0.0000 0.0000 0.9812  4 Sr 3.69, 4 Ba 3.90
Ba1 0.5000 0.5000 0.2500  8 Y 3.90, 4 Ba 4.26

Values from the calculation:
SG = No. 123
Calculated formation energy = 317 meV per atom
DOS(E_F) = 7.49 states/eV/cell
Distance to the lowest polymorph of the same formula = 0.71 eV per formula unit
Crystal system = tetragonal



Computed, not measured: a relaxed ReNiIr3 crystal at the GGA-PBE level of DFT.

Lattice parameters (Å, degrees): 4.7102 4.7102 4.7102 90.00 90.00 90.00
Last column: nearest neighbours and their distance in Å.
Sites, in units of the cell vectors:
Ir1 0.5000 0.0000 0.0000  2 Re 2.36
Ir2 0.0000 0.0000 0.5000  2 Re 2.36
Ir3 0.0000 0.5000 0.0000  2 Re 2.36
Ni1 0.5000 0.5000 0.5000  12 Ir 3.33
Re1 0.0000 0.0000 0.0000  6 Ir 2.36

Values from the calculation:
SG = No. 221
Calculated formation energy = 1942 meV per atom
DOS(E_F) = 8.74 states/eV/cell
Distance to the lowest polymorph of the same formula = 9.23 eV per formula unit
Crystal system = cubic



Calculated final energy (eV per cell), listed in the same order as above: -15.3 -35.1